First-principles (GGA+U) data for a relaxed Li2TiMn3O6 crystal, as listed in the Alexandria database.

extended XYZ file:
```
12
Lattice="2.687 -4.603 0.000 2.687 4.603 0.000 -2.079 0.000 4.905" Properties=species:S:1:pos:R:3 pbc="T T T"
Li 2.687 3.142 0.000
Li 2.687 -3.142 0.000
Ti 2.687 0.000 0.000
Mn -1.039 0.000 2.452
Mn 1.647 1.594 2.452
Mn 1.647 -1.594 2.452
O -0.200 1.414 3.687
O 1.022 0.000 1.088
O -0.200 -1.414 3.687
O 3.495 1.414 1.218
O 2.273 0.000 3.817
O 3.495 -1.414 1.218
```

Properties
- Space-group type: C2/m
- Total moment: 13.00 μB per formula unit
- Final energy: -7.29 eV per atom
- Density of states at the Fermi level: 0.2 states/eV per cell